An optimized crystal structure of YPaSn2, computed with PBE.

Size of the total moment: 0.000 μB/f.u.
Excess energy over the best structure of this formula in the dataset: 0.27 eV/f.u.
E_form: -325 meV per atom

abc: 4.9871 4.9871 5.8798
angles: 64.91 64.91 60.00
Closest atoms and distances in Å follow each position.
Atoms (fractional coordinates):
Y (0.0000, 0.0000, 0.0000)  6 Sn 3.14
Sn (0.7474, 0.7474, 0.7578)  3 Y 3.14, 3 Pa 3.17
Pa (0.5000, 0.5000, 0.5000)  6 Sn 3.17
Sn (0.2526, 0.2526, 0.2422)  3 Y 3.14, 3 Pa 3.17



An optimized crystal structure of Pa2ZnSn, computed with PBE.

Size of the total moment: 0.292 μB/f.u.
Excess energy over the best structure of this formula in the dataset: 0.00 eV/f.u.
E_form: -98 meV per atom

abc: 4.6897 4.4203 4.4203
angles: 90.00 90.00 90.00
Closest atoms and distances in Å follow each position.
Atoms (fractional coordinates):
Sn (0.5000, 0.0000, 0.0000)  4 Zn 3.13, 8 Pa 3.22
Pa (0.0000, 0.5000, 0.0000)  4 Pa 3.13, 4 Sn 3.22, 4 Zn 3.22
Pa (0.0000, 0.0000, 0.5000)  4 Pa 3.13, 4 Zn 3.22, 4 Sn 3.22
Zn (0.5000, 0.5000, 0.5000)  4 Sn 3.13, 8 Pa 3.22



An optimized crystal structure of PaZn4Sn, computed with PBE.

Size of the total moment: 1.241 μB/f.u.
E_form: 85 meV per atom

abc: 5.4778 5.4778 5.4778
angles: 60.00 60.00 60.00
Closest atoms and distances in Å follow each position.
Atoms (fractional coordinates):
Sn (0.0000, 0.0000, 0.0000)  12 Zn 3.21, 4 Pa 3.35
Zn (0.1264, 0.6245, 0.6245)  6 Zn 2.73-2.75
Zn (0.6245, 0.6245, 0.1264)  6 Zn 2.73-2.75
Zn (0.6245, 0.1264, 0.6245)  6 Zn 2.73-2.75
Pa (0.2500, 0.2500, 0.2500)  12 Zn 3.21, 4 Sn 3.35
Zn (0.6245, 0.6245, 0.6245)  6 Zn 2.73-2.75



An optimized crystal structure of PaZnSn, computed with PBE.

Size of the total moment: 0.671 μB/f.u.
E_form: -98 meV per atom

abc: 3.3566 4.8170 4.8170
angles: 120.00 90.00 90.00
Closest atoms and distances in Å follow each position.
Atoms (fractional coordinates):
Pa (0.3337, 0.6667, 0.3333)  6 Zn 3.25, 6 Sn 3.25, 2 Pa 3.36
Sn (0.8341, 0.0000, 0.0000)  3 Zn 2.78
Zn (0.8323, 0.3333, 0.6667)  3 Sn 2.78



An optimized crystal structure of PaZnSn, computed with PBE.

Size of the total moment: 1.327 μB/f.u.
E_form: 220 meV per atom

abc: 6.6011 6.6011 8.6130
angles: 118.21 118.21 76.48
Closest atoms and distances in Å follow each position.
Atoms (fractional coordinates):
Sn (0.1372, 0.1372, 0.0000)  4 Zn 2.59-2.75, 1 Sn 2.85
Zn (0.0791, 0.5791, 0.1582)  4 Sn 2.59-2.75
Pa (0.6250, 0.3750, 0.2500)  4 Sn 3.17-3.52, 4 Zn 3.26-3.39, 2 Pa 3.30
Pa (0.6250, 0.3750, 0.7500)  4 Sn 3.17-3.52, 4 Zn 3.26-3.39, 2 Pa 3.30
Pa (0.1250, 0.3750, 0.7500)  4 Sn 3.17-3.52, 4 Zn 3.26-3.39, 2 Pa 3.30
Zn (0.1709, 0.1709, 0.3418)  4 Sn 2.59-2.75
Zn (0.4209, 0.9209, 0.8418)  4 Sn 2.59-2.75
Sn (0.8628, 0.8628, 0.0000)  4 Zn 2.59-2.75, 1 Sn 2.85
Sn (0.1128, 0.6128, 0.5000)  4 Zn 2.59-2.75, 1 Sn 2.85
Sn (0.3872, 0.8872, 0.5000)  4 Zn 2.59-2.75, 1 Sn 2.85
Pa (0.6250, 0.8750, 0.2500)  4 Sn 3.17-3.52, 4 Zn 3.26-3.39, 2 Pa 3.30
Zn (0.8291, 0.8291, 0.6582)  4 Sn 2.59-2.75



An optimized crystal structure of Pa2ZnSn, computed with PBE.

Size of the total moment: 1.673 μB/f.u.
Excess energy over the best structure of this formula in the dataset: 0.30 eV/f.u.
E_form: -23 meV per atom

abc: 3.9808 3.9808 6.0771
angles: 90.00 90.00 90.00
Closest atoms and distances in Å follow each position.
Atoms (fractional coordinates):
Pa (0.0000, 0.0000, 0.7334)  1 Pa 2.84, 4 Zn 3.15
Pa (0.0000, 0.0000, 0.2666)  1 Pa 2.84, 4 Zn 3.15
Zn (0.5000, 0.5000, 0.5000)  2 Sn 3.04, 8 Pa 3.15
Sn (0.5000, 0.5000, 0.0000)  2 Zn 3.04, 8 Pa 3.25